{
  "formula": "ScAl2In",
  "functional": "PBE",
  "state": "relaxed",
  "lattice": [[3.252, 0.000, 0.000], [0.000, 4.124, 0.000], [0.000, 0.000, 5.958]],
  "species": ["Sc", "Al", "Al", "In"],
  "frac_coords": [[0.000, 0.000, 0.000], [0.000, 0.000, 0.477], [0.500, 0.500, 0.247], [0.500, 0.500, 0.735]],
  "space_group": "Pmm2, No. 25",
  "e_form_ev_per_atom": -0.171
}

{
  "formula": "LaPm5Pr2Dy",
  "functional": "PBE",
  "state": "relaxed",
  "lattice": [[-4.455, 4.455, 7.996], [4.455, -4.455, 7.996], [4.455, 4.455, -7.996]],
  "species": ["La", "La", "Pm", "Pm", "Pm", "Pm", "Pm", "Pm", "Pm", "Pm", "Pm", "Pm", "Pr", "Pr", "Pr", "Pr", "Dy", "Dy"],
  "frac_coords": [[0.250, 0.250, 0.000], [0.750, 0.750, 0.000], [0.000, 0.000, 0.000], [0.071, 0.571, 0.918], [0.152, 0.071, 0.500], [0.348, 0.848, 0.918], [0.429, 0.348, 0.500], [0.500, 0.500, 0.000], [0.571, 0.652, 0.500], [0.652, 0.152, 0.082], [0.848, 0.929, 0.500], [0.929, 0.429, 0.082], [0.118, 0.382, 0.500], [0.382, 0.882, 0.263], [0.618, 0.118, 0.737], [0.882, 0.618, 0.500], [0.250, 0.750, 0.500], [0.750, 0.250, 0.500]],
  "space_group": "I4/mcm, No. 140",
  "e_form_ev_per_atom": 0.257
}

{
  "formula": "GdHPb",
  "functional": "PBE",
  "state": "relaxed",
  "lattice": [[3.716, 0.000, 0.000], [-1.858, 3.219, 0.000], [0.000, 0.000, 5.187]],
  "species": ["Gd", "H", "Pb"],
  "frac_coords": [[0.000, 0.000, 0.000], [0.333, 0.667, 0.000], [0.667, 0.333, 0.500]],
  "space_group": "P-6m2, No. 187",
  "total_energy_ev_per_atom": -7.5883
}

{
  "formula": "Be2PCl",
  "functional": "PBE",
  "state": "relaxed",
  "lattice": [[1.637, -4.094, 0.000], [1.637, 4.094, 0.000], [0.000, 0.000, 6.432]],
  "species": ["Be", "Be", "P", "Cl"],
  "frac_coords": [[0.000, 0.000, 0.193], [0.000, 0.000, 0.807], [0.500, 0.500, 0.000], [0.500, 0.500, 0.500]],
  "relative_energy_mev_per_atom": 643.1,
  "space_group": "Cmmm, No. 65",
  "formation_energy_uncorrected_ev_per_atom": 0.125
}

{
  "formula": "SiHg5",
  "functional": "PBE",
  "state": "relaxed",
  "lattice": [[5.243, 0.000, 0.000], [0.000, 2.447, 6.568], [0.000, -2.447, 6.568]],
  "species": ["Si", "Hg", "Hg", "Hg", "Hg", "Hg"],
  "frac_coords": [[0.000, 0.000, 0.000], [0.000, 0.568, 0.568], [0.000, 0.802, 0.802], [0.500, 0.015, 0.015], [0.500, 0.343, 0.343], [0.500, 0.687, 0.687]],
  "relative_energy_mev_per_atom": 0.0,
  "space_group": "Amm2, No. 38",
  "formation_energy_uncorrected_ev_per_atom": 0.163
}

{
  "formula": "Pu2CdHg",
  "functional": "PBE",
  "state": "relaxed",
  "lattice": [[0.000, 3.774, 3.774], [3.774, 0.000, 3.774], [3.774, 3.774, 0.000]],
  "species": ["Pu", "Pu", "Cd", "Hg"],
  "frac_coords": [[0.250, 0.250, 0.250], [0.750, 0.750, 0.750], [0.000, 0.000, 0.000], [0.500, 0.500, 0.500]],
  "relative_energy_mev_per_atom": 69.1,
  "space_group": "Fm-3m, No. 225",
  "e_form_ev_per_atom": 0.001
}

Calculated ρ in order - 4.441, 6.845, 9.780, 1.627, 10.157, 12.371 g cm⁻³
Calculated N(E_F) in order - 2.3, 25.6, 0.9, 1.0, 1.4, 16.5 states/eV per cell